Density functional theory data (GGA-PBE) for a geometry-optimized Th4CdAu2 structure.

Properties
- electronic total energy (eV per formula unit) = -37.780
- ρ (g/cm3) = 11.121

```
data_Th4CdAu2
_cell_length_a 4.5191
_cell_length_b 4.5191
_cell_length_c 36.3330
_cell_angle_alpha 90.00
_cell_angle_beta 90.00
_cell_angle_gamma 120.00
_symmetry_space_group_name_H-M 'R -3 m'
_symmetry_Int_Tables_number 166
_symmetry_space_group_name_Hall '-R 3 2"'
loop_
_atom_site_label
_atom_site_fract_x
_atom_site_fract_y
_atom_site_fract_z
Th1 0.0000 0.0000 0.1114
Th2 0.0000 0.0000 0.3050
Cd1 0.0000 0.0000 0.5000
Au1 0.0000 0.0000 0.4031
```